Entry from the Alexandria database: a relaxed structure of ZrBeCr2 (PBE).

extended XYZ file:
```
4
Lattice="-1.629 1.770 -1.106 -1.425 -1.545 1.611 1.401 5.150 6.177" Properties=species:S:1:pos:R:3 pbc="T T T"
Cr 1.395 5.128 6.151
Cr -1.227 1.215 1.574
Zr 0.710 2.609 3.129
Be -0.429 4.149 5.093
```

Results
**Volume**: 13.59 Å³ per atom
**Energy of formation**: 0.3409 eV per atom

Entry from the Alexandria database: a relaxed structure of Ce6Y2O15 (PBE).

extended XYZ file:
```
46
Lattice="9.440 0.001 0.000 3.135 8.905 0.000 6.284 4.451 7.704" Properties=species:S:1:pos:R:3 pbc="T T T"
Ce 9.401 10.052 5.735
Ce 6.318 4.298 3.712
Ce 9.453 6.711 0.007
Ce 12.587 8.865 7.672
Ce 6.243 7.628 1.987
Ce 9.398 6.705 3.820
Ce 12.410 5.582 5.839
Ce 12.527 12.236 5.783
Ce 12.558 5.529 1.931
Ce 9.294 6.759 7.564
Ce 12.611 8.914 3.859
Ce 9.461 3.306 1.882
Y 12.544 2.365 4.011
Y 15.768 8.016 5.734
Y 9.653 9.987 1.881
Y 3.253 8.822 0.159
O 8.628 7.888 5.673
O 6.991 3.459 5.767
O 8.551 7.909 1.925
O 6.973 6.628 7.500
O 5.425 2.152 3.648
O 5.481 5.426 1.879
O 5.297 2.117 0.115
O 6.898 6.519 3.968
O 16.522 10.153 5.824
O 13.548 4.575 7.515
O 5.671 9.035 3.663
O 7.162 3.294 1.821
O 3.952 7.670 2.012
O 10.171 8.912 7.632
O 11.690 3.406 5.864
O 10.294 8.898 3.847
O 14.953 8.982 7.699
O 5.642 8.979 0.221
O 11.783 10.016 5.781
O 13.485 4.567 4.074
O 2.441 3.221 1.915
O 7.018 6.622 0.015
O 11.718 6.647 3.868
O 13.441 7.665 5.777
O 10.080 5.595 5.731
O 13.333 11.155 3.923
O 11.807 6.648 0.071
O 11.920 9.989 1.972
O 8.641 4.410 3.780
O 10.217 5.565 1.929
```

Results
**Volume**: 14.08 Å³ per atom
**E_form (uncorrected)**: -79.89 kcal/mol of atoms

Entry from the Alexandria database: a relaxed structure of LaHgS2Cl (PBE).

extended XYZ file:
```
5
Lattice="5.611 0.000 0.000 0.000 5.611 0.000 0.000 0.000 5.503" Properties=species:S:1:pos:R:3 pbc="T T T"
S 0.000 2.805 0.000
S 2.805 0.000 0.000
Cl 0.000 0.000 2.752
Hg 2.805 2.805 2.752
La 0.000 0.000 0.000
```

Results
**Polymorph energy (0 for the lowest one)**: 0.000 eV/atom
**Volume**: 34.65 Å³ per atom
**E_form (uncorrected)**: -17.35 kcal/mol of atoms

Entry from the Alexandria database: a relaxed structure of Sm5ErZn6 (PBE).

extended XYZ file:
```
12
Lattice="4.848 -0.029 1.622 0.039 7.257 0.013 0.002 -0.015 8.107" Properties=species:S:1:pos:R:3 pbc="T T T"
Zn 4.085 5.445 4.020
Zn 4.065 1.753 4.014
Zn 2.434 1.755 0.814
Zn 2.453 5.472 0.821
Zn 0.824 5.460 5.728
Zn 0.804 1.768 5.721
Sm 3.261 3.599 6.470
Sm 1.623 -0.015 3.227
Sm 0.019 3.628 0.006
Sm 3.228 -0.029 6.502
Sm 1.628 3.614 3.271
Er 0.000 0.000 0.000
```

Results
**Volume**: 23.77 Å³ per atom
**Energy of formation**: -0.3206 eV per atom

Entry from the Alexandria database: a relaxed structure of DyTmFeCu (PBE).

extended XYZ file:
```
4
Lattice="-4.345 -0.513 -1.864 -3.762 -0.558 2.856 -3.199 3.493 0.429" Properties=species:S:1:pos:R:3 pbc="T T T"
Tm -2.826 0.606 0.355
Fe 0.000 0.000 0.000
Cu -5.653 1.211 0.710
Dy -8.479 1.817 1.066
```

Results
**Volume**: 19.01 Å³ per atom
**Energy of formation**: -0.0464 eV per atom

Entry from the Alexandria database: a relaxed structure of SrTaP2S (PBE).

extended XYZ file:
```
5
Lattice="4.859 0.000 0.000 0.000 4.859 0.000 0.000 0.000 4.903" Properties=species:S:1:pos:R:3 pbc="T T T"
Sr 2.430 2.430 2.452
S 0.000 0.000 2.452
P 0.000 2.430 0.000
P 2.430 0.000 0.000
Ta 0.000 0.000 0.000
```

Results
**Polymorph energy (0 for the lowest one)**: 0.000 eV/atom
**Volume**: 23.16 Å³ per atom
**E_form (uncorrected)**: -16.55 kcal/mol of atoms

Respective N(E_F) values: 3.02 0.00 7.37 13.67 3.16 3.47 states/eV/f.u..
Respective density values: 6.24 6.45 4.21 7.64 9.84 5.20 Mg/m³.
Respective total magnetization values: 0.000 0.000 0.002 0.000 0.000 0.000 μB/atom.